Below is a relaxed PaCoO5 crystal, with properties calculated at the PBE with a Hubbard U level.

DOS at the Fermi energy in states/eV/f.u.: 0.36
E_tot in eV/atom: -7.39

Cell lengths 4.584, 4.584, 7.434 Å; angles 94.52, 94.52, 96.41 degrees
Positions (direct):
O 0.759 0.647 0.515
O 0.831 0.169 0.750
O 0.693 0.080 0.353
O 0.169 0.831 0.250
O 0.241 0.353 0.485
O 0.920 0.307 0.147
O 0.080 0.693 0.853
O 0.647 0.759 0.015
O 0.307 0.920 0.647
O 0.353 0.241 0.985
Co 0.000 0.000 0.000
Co 0.000 0.000 0.500
Pa 0.525 0.475 0.750
Pa 0.475 0.525 0.250